# 1
Below is a geometry-optimized La2HgP2 structure, with properties calculated at the PBE-GGA level.

```
data_La2HgP2
_chemical_formula_sum 'La2 Hg1 P2'
_space_group_name_H-M_alt 'P 1'
_space_group_IT_number 1
_cell_length_a 5.553
_cell_length_b 5.553
_cell_length_c 5.949
_cell_angle_alpha 62.18
_cell_angle_beta 62.18
_cell_angle_gamma 90.00
loop_
_space_group_symop_operation_xyz
'x,y,z'
loop_
_atom_site_label
_atom_site_fract_x
_atom_site_fract_y
_atom_site_fract_z
La1 0.250 0.750 0.500
La2 0.750 0.250 0.500
Hg1 0.000 0.000 0.000
P1 0.370 0.370 0.260
P2 0.630 0.630 0.740
```

Computed properties:
polymorph energy (0 for the lowest one) = 315 meV/atom
calculated formation energy = -3.75 eV/f.u.

# 2
Below is a geometry-optimized SiNi2Ir structure, with properties calculated at the PBE-GGA level.

```
data_SiNi2Ir
_chemical_formula_sum 'Si1 Ni2 Ir1'
_space_group_name_H-M_alt 'P 1'
_space_group_IT_number 1
_cell_length_a 4.495
_cell_length_b 4.495
_cell_length_c 4.495
_cell_angle_alpha 132.58
_cell_angle_beta 132.58
_cell_angle_gamma 69.32
loop_
_space_group_symop_operation_xyz
'x,y,z'
loop_
_atom_site_label
_atom_site_fract_x
_atom_site_fract_y
_atom_site_fract_z
Si1 0.250 0.750 0.500
Ni1 0.500 0.500 0.000
Ni2 0.000 0.000 0.000
Ir1 0.750 0.250 0.500
```

Computed properties:
raw total energy = -26.8 eV for the cell shown

# 3
Below is a geometry-optimized Nd12Ho3Zn structure, with properties calculated at the PBE-GGA level.

```
data_Nd12Ho3Zn
_chemical_formula_sum 'Nd12 Ho3 Zn1'
_space_group_name_H-M_alt 'P 1'
_space_group_IT_number 1
_cell_length_a 5.072
_cell_length_b 5.072
_cell_length_c 20.500
_cell_angle_alpha 90.00
_cell_angle_beta 90.00
_cell_angle_gamma 90.00
loop_
_space_group_symop_operation_xyz
'x,y,z'
loop_
_atom_site_label
_atom_site_fract_x
_atom_site_fract_y
_atom_site_fract_z
Nd1 0.500 0.500 0.244
Nd2 0.000 0.500 0.118
Nd3 0.500 0.500 0.500
Nd4 0.500 0.500 0.000
Nd5 0.500 0.000 0.118
Nd6 0.500 0.000 0.627
Nd7 0.500 0.000 0.373
Nd8 0.000 0.500 0.627
Nd9 0.000 0.500 0.882
Nd10 0.500 0.500 0.756
Nd11 0.000 0.500 0.373
Nd12 0.500 0.000 0.882
Ho1 0.000 0.000 0.754
Ho2 0.000 0.000 0.500
Ho3 0.000 0.000 0.246
Zn1 0.000 0.000 0.000
```

Computed properties:
calculated formation energy = 0.18 eV/f.u.

# 4
Below is a geometry-optimized CeAl2RuO8 structure, with properties calculated at the PBE-GGA level.

```
data_CeAl2RuO8
_chemical_formula_sum 'Ce1 Al2 Ru1 O8'
_space_group_name_H-M_alt 'P 1'
_space_group_IT_number 1
_cell_length_a 4.630
_cell_length_b 4.629
_cell_length_c 6.272
_cell_angle_alpha 90.00
_cell_angle_beta 90.00
_cell_angle_gamma 89.77
loop_
_space_group_symop_operation_xyz
'x,y,z'
loop_
_atom_site_label
_atom_site_fract_x
_atom_site_fract_y
_atom_site_fract_z
O1 0.675 0.675 0.500
O2 0.325 0.325 0.500
O3 0.212 0.788 0.215
O4 0.788 0.212 0.215
O5 0.698 0.698 0.000
O6 0.788 0.212 0.785
O7 0.212 0.788 0.785
O8 0.302 0.302 0.000
Ru1 0.000 0.000 0.000
Ce1 0.000 0.000 0.500
Al1 0.500 0.500 0.245
Al2 0.500 0.500 0.755
```

Computed properties:
raw total energy = -88.8 eV for the cell shown

# 5
Below is a geometry-optimized RbHfC2 structure, with properties calculated at the PBE-GGA level.

```
data_RbHfC2
_chemical_formula_sum 'Rb2 Hf2 C4'
_space_group_name_H-M_alt 'P 1'
_space_group_IT_number 1
_cell_length_a 6.104
_cell_length_b 6.104
_cell_length_c 7.100
_cell_angle_alpha 64.54
_cell_angle_beta 64.54
_cell_angle_gamma 90.00
loop_
_space_group_symop_operation_xyz
'x,y,z'
loop_
_atom_site_label
_atom_site_fract_x
_atom_site_fract_y
_atom_site_fract_z
C1 0.954 0.625 0.250
C2 0.875 0.046 0.750
C3 0.375 0.204 0.750
C4 0.796 0.125 0.250
Hf1 0.000 0.000 0.000
Hf2 0.750 0.250 0.500
Rb1 0.500 0.500 0.000
Rb2 0.250 0.750 0.500
```

Computed properties:
polymorph energy (0 for the lowest one) = 0 meV/atom
calculated formation energy = 4.40 eV/f.u.

# 6
Below is a geometry-optimized Tm6SiSe3S2 structure, with properties calculated at the PBE-GGA level.

```
data_Tm6SiSe3S2
_chemical_formula_sum 'Tm6 Si1 Se3 S2'
_space_group_name_H-M_alt 'P 1'
_space_group_IT_number 1
_cell_length_a 6.838
_cell_length_b 6.838
_cell_length_c 6.982
_cell_angle_alpha 99.36
_cell_angle_beta 99.36
_cell_angle_gamma 119.96
loop_
_space_group_symop_operation_xyz
'x,y,z'
loop_
_atom_site_label
_atom_site_fract_x
_atom_site_fract_y
_atom_site_fract_z
Tm1 0.255 0.255 0.772
Tm2 0.924 0.593 0.772
Tm3 0.076 0.407 0.228
Tm4 0.407 0.076 0.228
Tm5 0.593 0.924 0.772
Tm6 0.745 0.745 0.228
S1 0.667 0.333 0.000
S2 0.333 0.667 0.000
Se1 0.832 0.168 0.500
Se2 0.500 0.500 0.500
Se3 0.168 0.832 0.500
Si1 0.000 0.000 0.000
```

Computed properties:
raw total energy = -71.0 eV for the cell shown

Number 1: size of the total moment 0.000 μB/atom. Number 2: size of the total moment 0.000 μB/atom. Number 3: size of the total moment 0.000 μB/atom. Number 4: size of the total moment 0.171 μB/atom. Number 5: size of the total moment 0.000 μB/atom. Number 6: size of the total moment 0.000 μB/atom.